Material: CaIn2Si
Method: DFT, PBE
State: optimized geometry

Geometry as POSCAR:
```
CaIn2Si
1.0
-4.2348 4.2348 2.9320
4.2348 -4.2348 2.9320
4.2348 4.2348 -2.9320
Ca In Si
2 4 2
Direct
0.0000 0.0000 0.0000
0.7500 0.2500 0.5000
0.1915 0.6250 0.0665
0.3750 0.4415 0.5665
0.5585 0.1250 0.9335
0.8750 0.8085 0.4335
0.2500 0.7500 0.5000
0.5000 0.5000 0.0000
```

Symmetry   I-42d
Calculated volume   210.3 Å³/cell
VASP energy   -13.47 eV/f.u.
Calculated density   4.7 g/cm3
Magnetization   0.00 Bohr magnetons per cell
Raw formation energy   -141 meV/atom


Material: CaIn2Si2
Method: DFT, PBE
State: optimized geometry

Geometry as POSCAR:
```
CaIn2Si2
1.0
7.5620 0.0000 0.0000
0.0000 7.5620 0.0000
0.0000 0.0000 4.0457
Ca In Si
2 4 4
Direct
0.0000 0.0000 0.0000
0.5000 0.5000 0.0000
0.1747 0.3253 0.5000
0.3253 0.8253 0.5000
0.6747 0.1747 0.5000
0.8253 0.6747 0.5000
0.1130 0.6130 0.0000
0.3870 0.1130 0.0000
0.6130 0.8870 0.0000
0.8870 0.3870 0.0000
```

Symmetry   P4/mbm
Calculated volume   231.3 Å³/cell
VASP energy   -18.29 eV/f.u.
Calculated density   4.7 g/cm3
Magnetization   0.00 Bohr magnetons per cell
Raw formation energy   6 meV/atom


Material: CaIn2Si
Method: DFT, PBE
State: optimized geometry

Geometry as POSCAR:
```
CaIn2Si
1.0
3.4879 0.0000 0.0000
0.0000 4.5205 0.0000
-1.0734 0.0000 6.3414
Ca In Si
1 2 1
Direct
0.0000 0.0000 0.0000
0.2969 0.0000 0.5374
0.6295 0.5000 0.2967
0.4536 0.5000 0.8272
```

Symmetry   Pm
Calculated volume   100.0 Å³/cell
VASP energy   -13.22 eV/f.u.
Calculated density   4.9 g/cm3
Magnetization   0.00 Bohr magnetons per cell
Raw formation energy   -79 meV/atom